(1)
# Tm4TlCd3

Crystalline Tm4TlCd3 at its relaxed geometry (PBE-GGA, Alexandria via LeMat-Bulk).

Results
formation energy: -0.3079 eV/atom
ρ: 9.9 g/cm3

Cell lengths 3.7096, 3.7096, 14.8327 Å; angles 90.00, 90.00, 90.00 degrees
Closest atoms and distances in Å follow each position.
Positions (direct):
Tl: 0.5000 0.5000 0.0000  8 Tm 3.25
Tm: 0.0000 0.0000 0.8704  4 Cd 3.21, 4 Tl 3.25
Tm: 0.0000 0.0000 0.1296  4 Cd 3.21, 4 Tl 3.25
Tm: 0.0000 0.0000 0.3761  8 Cd 3.18-3.20
Tm: 0.0000 0.0000 0.6239  8 Cd 3.18-3.20
Cd: 0.5000 0.5000 0.2547  8 Tm 3.18-3.21
Cd: 0.5000 0.5000 0.5000  8 Tm 3.20
Cd: 0.5000 0.5000 0.7453  8 Tm 3.18-3.21



(2)
# Tm3Tl4Cd

Crystalline Tm3Tl4Cd at its relaxed geometry (PBE-GGA, Alexandria via LeMat-Bulk).

Results
formation energy: -0.1955 eV/atom
ρ: 11.4 g/cm3

Cell lengths 5.2736, 5.2734, 8.3891 Å; angles 108.25, 108.32, 90.00 degrees
Closest atoms and distances in Å follow each position.
Positions (direct):
Tl: 0.3769 0.3764 0.7537  6 Tm 3.20-3.31, 2 Cd 3.22-3.23
Tl: 0.6231 0.6236 0.2463  6 Tm 3.20-3.31, 2 Cd 3.22-3.23
Tl: 0.1231 0.1231 0.2463  6 Tm 3.20-3.31, 2 Cd 3.22
Tl: 0.8769 0.8769 0.7537  6 Tm 3.20-3.31, 2 Cd 3.22
Tm: 0.0000 0.5000 0.0000  8 Tl 3.22
Tm: 0.7441 0.2445 0.4881  8 Tl 3.20-3.31
Tm: 0.2559 0.7555 0.5119  8 Tl 3.20-3.31
Cd: 0.5000 0.0000 0.0000  8 Tl 3.22-3.23



(3)
# Tm6Tl5Cd

Crystalline Tm6Tl5Cd at its relaxed geometry (PBE-GGA, Alexandria via LeMat-Bulk).

Results
formation energy: -0.2998 eV/atom
ρ: 11.3 g/cm3

Cell lengths 5.3166, 7.4004, 8.4227 Å; angles 90.00, 71.60, 90.00 degrees
Closest atoms and distances in Å follow each position.
Positions (direct):
Tl: 0.6674 0.5000 0.6652  8 Tm 3.25
Tl: 0.3368 0.0000 0.3265  8 Tm 3.20-3.28
Tl: 0.0000 0.5000 0.0000  8 Tm 3.24-3.25
Tl: 0.6632 0.0000 0.6735  8 Tm 3.20-3.28
Tl: 0.3326 0.5000 0.3348  8 Tm 3.25
Tm: 0.8338 0.7523 0.3324  1 Cd 3.23, 7 Tl 3.23-3.28
Tm: 0.8338 0.2477 0.3324  1 Cd 3.23, 7 Tl 3.23-3.28
Tm: 0.5000 0.2497 0.0000  6 Tl 3.20-3.25, 2 Cd 3.24
Tm: 0.5000 0.7503 0.0000  6 Tl 3.20-3.25, 2 Cd 3.24
Tm: 0.1662 0.7523 0.6676  1 Cd 3.23, 7 Tl 3.23-3.28
Tm: 0.1662 0.2477 0.6676  1 Cd 3.23, 7 Tl 3.23-3.28
Cd: 0.0000 0.0000 0.0000  8 Tm 3.23-3.24



(4)
# Tm4Tl3Cd

Crystalline Tm4Tl3Cd at its relaxed geometry (PBE-GGA, Alexandria via LeMat-Bulk).

Results
formation energy: -0.3024 eV/atom
ρ: 11.1 g/cm3

Cell lengths 3.7354, 3.7354, 14.9861 Å; angles 90.00, 90.00, 90.00 degrees
Closest atoms and distances in Å follow each position.
Positions (direct):
Tl: 0.5000 0.5000 0.2449  8 Tm 3.24-3.26
Tl: 0.5000 0.5000 0.5000  8 Tm 3.26
Tl: 0.5000 0.5000 0.7551  8 Tm 3.24-3.26
Tm: 0.0000 0.0000 0.8802  4 Cd 3.19, 4 Tl 3.24
Tm: 0.0000 0.0000 0.1198  4 Cd 3.19, 4 Tl 3.24
Tm: 0.0000 0.0000 0.3723  8 Tl 3.26
Tm: 0.0000 0.0000 0.6277  8 Tl 3.26
Cd: 0.5000 0.5000 0.0000  8 Tm 3.19



What is the formation energy in the fourth record? -0.3024 eV/atom



Which of these has the highest formation energy? Tm3Tl4Cd



Which of these has the lowest formation energy? Tm4TlCd3



What did the first record say?
# Tm4TlCd3

Crystalline Tm4TlCd3 at its relaxed geometry (PBE-GGA, Alexandria via LeMat-Bulk).

Results
formation energy: -0.3079 eV/atom
ρ: 9.9 g/cm3

Cell lengths 3.7096, 3.7096, 14.8327 Å; angles 90.00, 90.00, 90.00 degrees
Closest atoms and distances in Å follow each position.
Positions (direct):
Tl: 0.5000 0.5000 0.0000  8 Tm 3.25
Tm: 0.0000 0.0000 0.8704  4 Cd 3.21, 4 Tl 3.25
Tm: 0.0000 0.0000 0.1296  4 Cd 3.21, 4 Tl 3.25
Tm: 0.0000 0.0000 0.3761  8 Cd 3.18-3.20
Tm: 0.0000 0.0000 0.6239  8 Cd 3.18-3.20
Cd: 0.5000 0.5000 0.2547  8 Tm 3.18-3.21
Cd: 0.5000 0.5000 0.5000  8 Tm 3.20
Cd: 0.5000 0.5000 0.7453  8 Tm 3.18-3.21